No. 1
This record from Alexandria via LeMat-Bulk describes Na2CeYS4 after structural relaxation. The functional is GGA-PBE.

Lattice parameters (Å, degrees): 7.041 4.066 7.074 90.00 109.38 90.00
Sites, in units of the cell vectors:
Na  0.000  0.000  0.000
Na  0.500  0.500  0.000
Ce  0.000  0.500  0.500
Y  0.500  0.000  0.500
S  0.251  0.000  0.731
S  0.264  0.500  0.272
S  0.736  0.500  0.728
S  0.749  0.000  0.269

## Properties
Space group: P2/m
Raw total energy: -5.73 eV per atom
D(E_F): 0.740 states/eV/atom
ΔE_f (raw): -1.786 eV per atom
Magnetic moment: 1.01 μB/f.u.

=====

No. 2
This record from Alexandria via LeMat-Bulk describes CsTlPt2 after structural relaxation. The functional is GGA-PBE.

Lattice parameters (Å, degrees): 6.794 6.794 6.794 105.74 105.74 117.23
Sites, in units of the cell vectors:
Cs  0.000  0.000  0.000
Cs  0.750  0.250  0.500
Tl  0.250  0.750  0.500
Tl  0.500  0.500  0.000
Pt  0.195  0.625  0.070
Pt  0.375  0.445  0.570
Pt  0.555  0.125  0.930
Pt  0.875  0.805  0.430

## Properties
Space group: I-42d
Raw total energy: -3.39 eV per atom
D(E_F): 0.129 states/eV/atom
E_form: 1.76 eV per formula unit
Magnetic moment: 0.00 μB/f.u.

=====

No. 3
This record from Alexandria via LeMat-Bulk describes KZr2Ru after structural relaxation. The functional is GGA-PBE.

Lattice parameters (Å, degrees): 10.803 10.803 10.803 17.38 17.38 17.38
Sites, in units of the cell vectors:
K  0.000  0.000  0.000
Zr  0.525  0.525  0.525
Zr  0.777  0.777  0.777
Ru  0.248  0.248  0.248

## Properties
Space group: R3m
Raw total energy: -6.47 eV per atom
D(E_F): 1.009 states/eV/atom
E_form: 1.58 eV per formula unit
Magnetic moment: 0.00 μB/f.u.
Energy relative to the lowest polymorph listed for this composition: 1.00 eV/f.u.

=====

No. 4
This record from Alexandria via LeMat-Bulk describes CsUTe2H after structural relaxation. The functional is GGA-PBE.

Lattice parameters (Å, degrees): 8.364 4.453 10.471 90.00 108.03 90.00
Sites, in units of the cell vectors:
Cs  0.170  0.250  0.303
Cs  0.830  0.750  0.697
U  0.334  0.250  0.831
U  0.666  0.750  0.169
Te  0.282  0.750  0.018
Te  0.326  0.750  0.634
Te  0.674  0.250  0.366
Te  0.718  0.250  0.982
H  0.072  0.250  0.771
H  0.928  0.750  0.229

## Properties
Space group: P2_1/m
Raw total energy: -4.95 eV per atom
D(E_F): 1.412 states/eV/atom
Magnetic moment: 2.00 μB/f.u.

=====

D(E_F) of number 1 (Na2CeYS4)?
0.740 states/eV/atom